The following is a DFT calculation (PBE-GGA) of a relaxed K2Tl4Hg3Pb crystal.

Computed properties:
- Space-group type: P-4m2
- Total DFT energy (no corrections): -1.732 eV per atom
- N(E_F): 4.201 states/eV/f.u.
- E_form: -0.10 eV per atom

Unit cell a=5.158 b=5.158 c=12.965 alpha=90.00 beta=90.00 gamma=90.00
Fractional coordinates of all 10 atoms:
Hg  0.000  0.000  0.500
K  0.500  0.000  0.251
Hg  0.500  0.000  0.866
Tl  0.500  0.000  0.637
Tl  0.000  0.000  0.000
Pb  0.500  0.500  0.500
Hg  0.000  0.500  0.134
Tl  0.000  0.500  0.363
Tl  0.500  0.500  0.000
K  0.000  0.500  0.749


The following is a DFT calculation (PBE-GGA) of a relaxed KHg10Pd3 crystal.

Computed properties:
- Space-group type: Fm-3m
- Total DFT energy (no corrections): -1.499 eV per atom
- N(E_F): 3.770 states/eV/f.u.
- E_form: -0.09 eV per atom

Unit cell a=10.112 b=10.112 c=10.112 alpha=60.00 beta=60.00 gamma=60.00
Fractional coordinates of all 28 atoms:
Hg  0.839  0.387  0.387
Pd  0.733  0.733  0.267
Hg  0.000  0.665  0.335
Hg  0.335  0.665  0.000
Hg  0.613  0.161  0.613
Hg  0.613  0.613  0.613
Pd  0.267  0.267  0.733
Pd  0.733  0.267  0.733
Pd  0.267  0.733  0.267
Hg  0.387  0.387  0.839
Hg  0.387  0.387  0.387
Pd  0.733  0.267  0.267
Hg  0.665  0.000  0.335
Hg  0.335  0.000  0.665
Hg  0.387  0.839  0.387
Hg  0.000  0.000  0.665
K  0.250  0.250  0.250
Pd  0.267  0.733  0.733
Hg  0.000  0.335  0.665
Hg  0.665  0.000  0.000
Hg  0.335  0.000  0.000
Hg  0.000  0.665  0.000
Hg  0.665  0.335  0.000
K  0.750  0.750  0.750
Hg  0.000  0.000  0.335
Hg  0.000  0.335  0.000
Hg  0.161  0.613  0.613
Hg  0.613  0.613  0.161


The following is a DFT calculation (PBE-GGA) of a relaxed K3HgPd crystal.

Computed properties:
- Space-group type: P2_1/m
- Total DFT energy (no corrections): -1.864 eV per atom
- N(E_F): 2.685 states/eV/f.u.
- E_form: -0.11 eV per atom
- ΔE to the lowest computed polymorph: 0.0 kJ/mol of atoms

Unit cell a=4.864 b=10.527 c=7.582 alpha=90.00 beta=89.96 gamma=90.00
Fractional coordinates of all 10 atoms:
K  0.250  0.037  0.318
Hg  0.749  0.750  0.330
Hg  0.251  0.250  0.670
K  0.250  0.463  0.318
K  0.750  0.963  0.682
Pd  0.249  0.750  0.511
K  0.249  0.750  0.993
Pd  0.751  0.250  0.489
K  0.751  0.250  0.007
K  0.750  0.537  0.682


The following is a DFT calculation (PBE-GGA) of a relaxed K2Hg5Pd4 crystal.

Computed properties:
- Space-group type: C2/m
- Total DFT energy (no corrections): -2.359 eV per atom
- N(E_F): 3.547 states/eV/f.u.
- E_form: -0.13 eV per atom

Unit cell a=6.291 b=7.793 c=6.940 alpha=88.13 beta=63.05 gamma=66.19
Fractional coordinates of all 11 atoms:
Hg  0.250  0.813  0.165
Pd  0.670  0.864  0.796
K  0.308  0.746  0.638
Hg  0.771  0.813  0.165
Hg  0.229  0.187  0.835
K  0.692  0.254  0.362
Hg  0.000  0.500  0.500
Pd  0.769  0.515  0.947
Pd  0.330  0.136  0.204
Pd  0.231  0.485  0.053
Hg  0.750  0.187  0.835